Here is a relaxed structure of CsCrI2O8 from Alexandria. Energies are from PBE with a Hubbard U.

The structure in extended XYZ format:
```
12
Lattice="5.6535 -2.7865 0.0000 5.6535 2.7865 0.0000 -1.2809 0.0000 8.3468" Properties=species:S:1:pos:R:3 pbc="T T T"
Cs 0.0000 0.0000 0.0000
Cr -0.6404 0.0000 4.1734
I 3.5668 0.0000 2.9499
I 6.4592 0.0000 5.3970
O 1.0480 0.0000 3.8980
O 4.8466 1.3550 2.7421
O 2.8772 0.0000 1.2998
O 5.1795 1.3550 5.6047
O 4.8466 -1.3550 2.7421
O 7.1489 0.0000 7.0470
O 5.1795 -1.3550 5.6047
O 8.9780 0.0000 4.4488
```

total magnetic moment	0.956	μB/f.u.
SG	C2/m, No. 12
total DFT energy (no corrections)	-5.03	eV per atom